DFT (PBE-GGA) results for a relaxed SrLi2ErAu4 crystal.

Calculated values
As for the density of states at the Fermi level: 5.41 states/eV per cell. As for the space group: R-3m. The calculation puts the formation energy from the elements at -0.681 eV per atom. The calculation puts the electronic total energy at -3.579 eV per atom.

Cell lengths 9.9996, 9.9996, 9.9996 Å; angles 26.56, 26.56, 26.56 degrees
With the nearest neighbours (Å) after each atom.
Fractional positions:
Sr 0.0000 0.0000 0.0000  8 Au 3.27-3.38
Li 0.2432 0.2432 0.2432  6 Au 2.74-2.76
Li 0.7568 0.7568 0.7568  6 Au 2.74-2.76
Er 0.5000 0.5000 0.5000  8 Au 2.91-3.02
Au 0.1168 0.1168 0.1168  3 Li 2.76, 3 Er 3.02, 3 Au 3.03
Au 0.3993 0.3993 0.3993  3 Li 2.74, 1 Er 2.91, 3 Au 3.03
Au 0.6007 0.6007 0.6007  3 Li 2.74, 1 Er 2.91, 3 Au 3.03
Au 0.8832 0.8832 0.8832  3 Li 2.76, 3 Er 3.02, 3 Au 3.03

DFT (PBE-GGA) results for a relaxed BeVRu3 crystal.

Calculated values
As for the density of states at the Fermi level: 6.46 states/eV per cell. As for the energy relative to the lowest polymorph listed for this composition: 1050 meV/atom. As for the space group: Pm-3m. The calculation puts the formation energy from the elements at 1.351 eV per atom. The calculation puts the electronic total energy at -6.784 eV per atom.

Cell lengths 4.4083, 4.4083, 4.4083 Å; angles 90.00, 90.00, 90.00 degrees
With the nearest neighbours (Å) after each atom.
Fractional positions:
Be 0.0000 0.0000 0.0000  12 Ru 3.12
V 0.5000 0.5000 0.5000  6 Ru 2.20
Ru 0.0000 0.5000 0.5000  2 V 2.20
Ru 0.5000 0.0000 0.5000  2 V 2.20
Ru 0.5000 0.5000 0.0000  2 V 2.20

DFT (PBE-GGA) results for a relaxed RhC3 crystal.

Calculated values
As for the density of states at the Fermi level: 1.54 states/eV per cell. As for the energy relative to the lowest polymorph listed for this composition: 162 meV/atom. As for the space group: Pmm2. The calculation puts the formation energy from the elements at 0.730 eV per atom. The calculation puts the electronic total energy at -8.026 eV per atom.

Cell lengths 2.5562, 2.7997, 4.9060 Å; angles 90.00, 90.00, 90.00 degrees
With the nearest neighbours (Å) after each atom.
Fractional positions:
Rh 0.0000 0.0000 0.0000  6 C 2.16-2.22
C 0.0000 0.5000 0.6489  2 C 1.46
C 0.5000 0.5000 0.2126  1 C 1.44
C 0.5000 0.5000 0.5054  3 C 1.44-1.46

DFT (PBE-GGA) results for a relaxed V2SbSe crystal.

Calculated values
As for the density of states at the Fermi level: 5.05 states/eV per cell. As for the energy relative to the lowest polymorph listed for this composition: 150 meV/atom. As for the space group: I-42d. Its formation energy from raw total energies is 0.11 eV/atom. The calculation puts the electronic total energy at -6.348 eV per atom.

Cell lengths 7.2263, 7.2263, 7.2263 Å; angles 130.83, 130.83, 72.09 degrees
With the nearest neighbours (Å) after each atom.
Fractional positions:
V 0.0972 0.6250 0.9722  2 Se 2.49, 2 Sb 2.68
V 0.3750 0.3472 0.4722  2 Se 2.49, 2 Sb 2.68
V 0.6528 0.1250 0.0278  2 Se 2.49, 2 Sb 2.68
V 0.8750 0.9028 0.5278  2 Se 2.49, 2 Sb 2.68
Sb 0.2500 0.7500 0.5000  4 V 2.68
Sb 0.5000 0.5000 0.0000  4 V 2.68
Se 0.0000 0.0000 0.0000  4 V 2.49
Se 0.7500 0.2500 0.5000  4 V 2.49

DFT (PBE-GGA) results for a relaxed Rb2LiGaI4 crystal.

Calculated values
As for the density of states at the Fermi level: 0.00 states/eV per cell. As for the space group: P2/m. Its formation energy from raw total energies is -1.08 eV/atom. The calculation puts the electronic total energy at -2.719 eV per atom.

Cell lengths 8.4120, 4.8627, 8.5816 Å; angles 90.00, 108.66, 90.00 degrees
With the nearest neighbours (Å) after each atom.
Fractional positions:
Rb 0.0000 0.0000 0.0000  6 I 3.59-3.62
Rb 0.5000 0.5000 0.0000  6 I 3.72-3.77
Li 0.0000 0.5000 0.5000  6 I 3.14-3.25
Ga 0.5000 0.0000 0.5000  6 I 3.34-3.35
I 0.2257 0.0000 0.7081  2 Li 3.25, 1 Ga 3.34, 1 Rb 3.59
I 0.2454 0.5000 0.2910  1 Li 3.14, 2 Ga 3.35
I 0.7546 0.5000 0.7090  1 Li 3.14, 2 Ga 3.35
I 0.7743 0.0000 0.2919  2 Li 3.25, 1 Ga 3.34, 1 Rb 3.59

DFT (PBE-GGA) results for a relaxed NdHoTeC crystal.

Calculated values
As for the density of states at the Fermi level: 0.76 states/eV per cell. As for the space group: R3m. Its formation energy from raw total energies is -0.78 eV/atom. The calculation puts the electronic total energy at -6.212 eV per atom.

Cell lengths 7.5589, 7.5589, 7.5589 Å; angles 29.71, 29.71, 29.71 degrees
With the nearest neighbours (Å) after each atom.
Fractional positions:
Nd 0.0000 0.0000 0.0000  3 C 2.65
Ho 0.2080 0.2080 0.2080  3 C 2.58
Te 0.7753 0.7753 0.7753  3 Ho 3.11, 3 Nd 3.25
C 0.6011 0.6011 0.6011  3 Ho 2.58, 3 Nd 2.65

DFT (PBE-GGA) results for a relaxed LaNd2Sm5Mg crystal.

Calculated values
As for the density of states at the Fermi level: 28.54 states/eV per cell. As for the space group: Cmc2_1. The calculation puts the formation energy from the elements at 0.089 eV per atom. The calculation puts the electronic total energy at -4.317 eV per atom.

Cell lengths 10.4919, 10.4919, 10.8618 Å; angles 90.00, 90.00, 149.13 degrees
With the nearest neighbours (Å) after each atom.
Fractional positions:
La 0.2035 0.7965 0.5000  8 Sm 3.55-3.85, 2 Mg 3.57, 2 Nd 3.63-3.64
La 0.7965 0.2035 0.0000  8 Sm 3.55-3.85, 2 Mg 3.57, 2 Nd 3.63-3.64
Nd 0.1148 0.8852 0.2088  9 Sm 3.44-3.77, 1 La 3.64
Nd 0.1150 0.8850 0.7913  9 Sm 3.44-3.78, 1 La 3.63
Nd 0.8850 0.1150 0.2913  9 Sm 3.44-3.78, 1 La 3.63
Nd 0.8852 0.1148 0.7088  9 Sm 3.44-3.77, 1 La 3.64
Sm 0.0132 0.9868 0.4999  2 Mg 3.23, 2 Nd 3.44
Sm 0.2901 0.7099 0.2007  1 Mg 3.21, 2 Sm 3.40, 3 Nd 3.53-3.55, 2 La 3.55
Sm 0.2900 0.7100 0.7990  1 Mg 3.20, 2 Sm 3.40, 3 Nd 3.53-3.54, 2 La 3.55
Sm 0.3848 0.6152 0.5000  6 Sm 3.58-3.81, 4 Nd 3.60, 1 La 3.67
Sm 0.4997 0.5003 0.2497  2 Mg 3.31, 2 Sm 3.58, 4 Nd 3.66
Sm 0.5003 0.4997 0.7497  2 Mg 3.31, 2 Sm 3.58, 4 Nd 3.66
Sm 0.6152 0.3848 0.0000  6 Sm 3.58-3.81, 4 Nd 3.60, 1 La 3.67
Sm 0.7100 0.2900 0.2990  1 Mg 3.20, 2 Sm 3.40, 3 Nd 3.53-3.54, 2 La 3.55
Sm 0.7099 0.2901 0.7007  1 Mg 3.21, 2 Sm 3.40, 3 Nd 3.53-3.55, 2 La 3.55
Sm 0.9868 0.0132 0.9999  2 Mg 3.23, 2 Nd 3.44
Mg 0.4063 0.5937 0.9995  6 Sm 3.20-3.31, 2 La 3.57
Mg 0.5937 0.4063 0.4995  6 Sm 3.20-3.31, 2 La 3.57

DFT (PBE-GGA) results for a relaxed CoHSe crystal.

Calculated values
As for the density of states at the Fermi level: 4.02 states/eV per cell. As for the energy relative to the lowest polymorph listed for this composition: 0 meV/atom. As for the space group: C2/m. The calculation puts the electronic total energy at -4.638 eV per atom.

Cell lengths 3.8331, 3.8331, 5.9694 Å; angles 110.11, 110.11, 70.15 degrees
With the nearest neighbours (Å) after each atom.
Fractional positions:
Co 0.0706 0.0706 0.2455  2 H 1.61
Co 0.9294 0.9294 0.7545  2 H 1.61
H 0.1505 0.1505 0.0216  2 Co 1.61, 1 H 1.80
H 0.8495 0.8495 0.9784  2 Co 1.61, 1 H 1.80
Se 0.2741 0.2741 0.6828  4 Co 2.37-2.38, 1 H 2.45
Se 0.7259 0.7259 0.3172  4 Co 2.37-2.38, 1 H 2.45